Record 1
Density functional theory data (PBE) for a relaxed structure of MgAl2Pt.

Computed properties:
- Magnetic moment: 0.0 μB/f.u.
- VASP energy: -4.136 eV per atom
- Symmetry: R-3m (166)

abc: 8.745 8.745 8.745
angles: 20.24 20.24 20.24
Element x y z (fractional)
Mg 0.000 0.000 0.000
Al 0.241 0.241 0.241
Al 0.759 0.759 0.759
Pt 0.500 0.500 0.500


Record 2
Density functional theory data (PBE) for a relaxed structure of MgAl2Pt.

Computed properties:
- Magnetic moment: 0.0 μB/f.u.
- VASP energy: -4.506 eV per atom
- Symmetry: Pnma (62)

abc: 14.729 7.513 5.045
angles: 90.00 90.00 90.00
Element x y z (fractional)
Mg 0.108 0.250 0.249
Mg 0.138 0.750 0.450
Mg 0.362 0.250 0.950
Mg 0.392 0.750 0.749
Mg 0.608 0.250 0.251
Mg 0.638 0.750 0.050
Mg 0.862 0.250 0.550
Mg 0.892 0.750 0.751
Al 0.037 0.056 0.748
Al 0.037 0.444 0.748
Al 0.210 0.554 0.949
Al 0.210 0.946 0.949
Al 0.290 0.054 0.449
Al 0.290 0.446 0.449
Al 0.463 0.556 0.248
Al 0.463 0.944 0.248
Al 0.537 0.056 0.752
Al 0.537 0.444 0.752
Al 0.710 0.554 0.551
Al 0.710 0.946 0.551
Al 0.790 0.054 0.051
Al 0.790 0.446 0.051
Al 0.963 0.556 0.252
Al 0.963 0.944 0.252
Pt 0.069 0.750 0.955
Pt 0.185 0.250 0.736
Pt 0.315 0.750 0.236
Pt 0.431 0.250 0.455
Pt 0.569 0.750 0.545
Pt 0.685 0.250 0.764
Pt 0.815 0.750 0.264
Pt 0.931 0.250 0.045


Record 3
Density functional theory data (PBE) for a relaxed structure of MgAl2Pt.

Computed properties:
- Magnetic moment: 0.0 μB/f.u.
- VASP energy: -4.268 eV per atom
- Symmetry: Amm2 (38)

abc: 4.348 5.270 5.270
angles: 33.54 90.00 90.00
Element x y z (fractional)
Mg 0.000 0.000 0.000
Al 0.000 0.734 0.734
Al 0.500 0.334 0.334
Pt 0.500 0.603 0.603


Record 4
Density functional theory data (PBE) for a relaxed structure of MgAl4Pt.

Computed properties:
- Magnetic moment: 0.0 μB/f.u.
- VASP energy: -3.816 eV per atom
- Symmetry: F-43m (216)

abc: 5.244 5.244 5.244
angles: 60.00 60.00 60.00
Element x y z (fractional)
Mg 0.000 0.000 0.000
Al 0.374 0.374 0.374
Al 0.374 0.374 0.877
Al 0.374 0.877 0.374
Al 0.877 0.374 0.374
Pt 0.750 0.750 0.750


no.,energy of formation from the pure elements (eV/atom)
1,-0.36
2,-0.73
3,-0.49
4,-0.05